[1]
Ga2Te3 (GGA-PBE, relaxed); space group = C2/m (12)
1.0
4.117 0.000 0.000
2.059 6.924 1.032
2.059 3.801 12.061
Ga Te
4 6
Cartesian
6.176 7.117 4.328
4.117 4.229 1.976
4.117 6.496 11.117
2.059 3.608 8.764
4.117 3.077 7.263
2.059 4.472 3.773
6.176 6.252 9.319
4.117 1.710 0.989
4.117 9.015 12.103
4.117 7.648 5.830


[2]
GaTe (GGA-PBE, relaxed); space group = Pmmn (59)
1.0
-1.877 2.299 3.154
1.702 -2.937 3.154
13.690 9.359 1.327
Te Ga
6 6
Cartesian
3.994 3.359 2.902
-0.489 0.373 2.411
8.097 2.519 2.984
8.785 6.634 3.367
3.615 -0.467 2.492
12.515 5.617 3.355
6.398 4.981 3.151
1.444 2.395 2.087
10.612 3.537 3.739
10.687 8.714 2.983
6.165 0.496 3.307
1.211 -2.089 2.243


[3]
Ga2Te3 (GGA-PBE, relaxed); space group = Imm2 (44)
1.0
-1.996 0.992 3.588
-5.351 -1.619 -2.529
4.484 -5.644 1.568
Te Ga
3 2
Cartesian
0.791 -3.098 3.782
-0.446 -6.211 1.469
-0.953 -2.483 0.156
2.428 -4.608 5.110
-3.448 -2.375 1.225


[4]
GaTe (GGA-PBE, relaxed); space group = P6_3/m (176)
1.0
10.149 0.000 0.000
-5.074 8.789 0.000
0.000 0.000 4.287
Te Ga
6 6
Cartesian
6.332 5.707 3.215
3.034 6.159 1.072
-1.776 8.337 1.072
2.041 2.630 3.215
-1.257 3.082 1.072
6.851 0.452 3.215
3.551 3.433 1.072
5.400 1.359 1.072
6.272 3.997 1.072
-1.197 4.792 3.215
1.523 5.356 3.215
-0.326 7.430 3.215


One value per record, in order, for energy relative to the elements, uncorrected: -19.8; -18.9; -29.9; -17.7 kJ per mole of atoms.